[1]
First-principles (PBE-GGA) data for a relaxed NaErPt crystal, as listed in the Open Quantum Materials Database.

Calculated values
The density is 8.65 g cm⁻³. The calculation puts the electronic total energy at -4.53 eV/atom. Its energy above the lowest structure with this stoichiometry is 0.000 eV per atom.

Unit cell a=6.663 b=6.663 c=6.663 alpha=90.00 beta=90.00 gamma=90.00
Space group F-43m (No. 216)
Unique sites:
1 Na 0.000 0.000 0.000 x4
2 Er 0.000 0.000 0.500 x4
3 Pt 0.250 0.250 0.750 x4

=====

[2]
First-principles (PBE-GGA) data for a relaxed YPuBr6 crystal, as listed in the Open Quantum Materials Database.

Calculated values
The density is 4.38 g cm⁻³. The calculation puts the electronic total energy at -5.55 eV/atom.

Unit cell a=7.310 b=12.677 c=7.114 alpha=90.00 beta=110.80 gamma=90.00
Space group C2 (No. 5)
Unique sites:
1 Y 0.000 0.000 0.000 x2
2 Pu 0.000 0.332 0.000 x2
3 Br 0.228 0.163 0.240 x4
4 Br 0.235 0.990 0.761 x4
5 Br 0.246 0.346 0.761 x4

=====

[3]
First-principles (PBE-GGA) data for a relaxed Pr2SmAl7Au2 crystal, as listed in the Open Quantum Materials Database.

Calculated values
The density is 6.82 g cm⁻³. The calculation puts the electronic total energy at -4.50 eV/atom.

Unit cell a=5.6748 b=5.6748 c=26.5780 alpha=90.00 beta=90.00 gamma=120.00
Space group R-3m (No. 166, hexagonal axes)
Unique sites:
1 Pr 0.0000 0.0000 0.1420 x6
2 Sm 0.0000 0.0000 0.0000 x3
3 Al 0.0000 0.0000 0.5000 x3
4 Al 0.0091 0.5045 0.9186 x18
5 Au 0.0000 0.0000 0.3367 x6

=====

[4]
First-principles (PBE-GGA) data for a relaxed La2ZnGa2S6O crystal, as listed in the Open Quantum Materials Database.

Calculated values
The density is 4.26 g cm⁻³. The calculation puts the electronic total energy at -5.45 eV/atom.

Unit cell a=9.393 b=9.393 c=6.103 alpha=90.00 beta=90.00 gamma=90.00
Space group P-42_1m (No. 113)
Unique sites:
1 La 0.155 0.345 0.009 x4
2 Zn 0.000 0.000 0.500 x2
3 Ga 0.128 0.628 0.414 x4
4 S 0.065 0.832 0.241 x8
5 S 0.131 0.631 0.781 x4
6 O 0.000 0.500 0.264 x2

=====

[5]
First-principles (PBE-GGA) data for a relaxed TbYIn4 crystal, as listed in the Open Quantum Materials Database.

Calculated values
The density is 7.60 g cm⁻³. The calculation puts the electronic total energy at -4.13 eV/atom.

Unit cell a=4.661 b=4.629 c=14.315 alpha=90.00 beta=90.00 gamma=90.00
Space group Amm2 (No. 38)
Unique sites:
1 Tb 0.000 0.000 0.000 x2
2 Y 0.000 0.000 0.309 x2
3 In 0.000 0.000 0.654 x2
4 In 0.500 0.000 0.154 x2
5 In 0.500 0.000 0.478 x2
6 In 0.500 0.000 0.830 x2

=====

[6]
First-principles (PBE-GGA) data for a relaxed ZrCu2SeS2 crystal, as listed in the Open Quantum Materials Database.

Calculated values
The density is 5.15 g cm⁻³. The calculation puts the electronic total energy at -5.44 eV/atom. Its energy above the lowest structure with this stoichiometry is 0.014 eV per atom.

Unit cell a=18.607 b=3.799 c=6.612 alpha=90.00 beta=94.80 gamma=90.00
Space group C2/m (No. 12)
Unique sites:
1 Zr 0.150 0.000 0.042 x4
2 Cu 0.042 0.500 0.167 x4
3 Cu 0.208 0.000 0.451 x4
4 Se 0.080 0.000 0.371 x4
5 S 0.086 0.500 0.846 x4
6 S 0.243 0.500 0.219 x4